Pr3IrPd, optimized geometry, DFT PBE; VASP energy = -6.191 eV per atom; calculated volume = 294.4 Å³ per cell; E_form = -0.512 eV/atom
1.0
4.0938 -0.0003 -0.0007
0.0020 8.7211 -0.0795
0.0030 2.9574 8.2203
Pr Ir Pd
6 2 2
Cartesian
3.5397 5.8005 6.5772
3.5414 10.7215 5.5796
3.5326 5.6871 0.3495
1.4877 0.6835 0.7944
3.5332 7.8782 3.5886
1.4890 4.1627 3.2258
1.4862 6.7829 1.9691
1.4924 3.9006 6.1201
1.4903 8.2609 6.0802
3.5354 2.4181 2.0167


Pr8IrPd5, optimized geometry, DFT PBE; VASP energy = -5.848 eV per atom; calculated volume = 377.8 Å³ per cell; E_form = -0.629 eV/atom
1.0
7.4588 0.0000 -2.5657
-3.7211 6.4256 -2.6610
-0.0166 0.0000 7.8877
Pr Ir Pd
8 1 5
Cartesian
-1.8477 4.7658 5.4835
-0.4232 0.8905 5.5564
4.6541 1.6508 0.4194
3.2041 2.3661 4.3208
1.4035 4.0596 -1.0257
1.3835 5.5352 3.0300
0.8541 1.6598 1.7055
-1.8196 4.7749 1.6076
-0.0083 3.2128 3.9439
6.0157 2.3865 -2.5894
3.3156 5.6055 -2.5947
3.2321 4.0391 1.3031
3.7211 0.0000 2.6610
2.3542 0.8201 -1.2504


Pr5Ir2Pd, optimized geometry, DFT PBE; VASP energy = -6.296 eV per atom; calculated volume = 535.1 Å³ per cell; E_form = -0.444 eV/atom
1.0
-2.0383 5.4292 -0.4863
-3.8367 -4.8696 -3.4633
-7.9714 -1.9554 11.5802
Pr Ir Pd
10 4 2
Cartesian
-12.3826 -0.9295 6.7009
-10.2444 -0.4050 3.5947
-6.8131 -2.3259 2.5892
-3.7685 -1.5790 -1.8337
-5.4703 1.1348 0.7755
-8.3760 -2.5305 6.8552
-7.0332 0.9302 5.0414
-10.0778 0.1833 9.4644
-1.4637 -0.4662 0.9298
-3.6019 -0.9907 4.0360
-7.8795 0.3649 2.2781
-4.8637 1.1047 -2.1031
-5.9668 -1.7606 5.3526
-8.9826 -2.5004 9.7337
-9.6136 0.0872 6.4453
-4.2327 -1.4829 1.1854


PrIrPd, optimized geometry, DFT PBE; VASP energy = -6.648 eV per atom; calculated volume = 123.9 Å³ per cell; E_form = -0.370 eV/atom
1.0
5.8097 -0.2635 -0.7004
-2.7590 5.1196 0.7004
-3.3881 -1.2579 4.5748
Pr Pd Ir
2 2 2
Cartesian
-3.2815 2.0615 4.3063
2.9442 1.5367 0.2685
-1.6940 -0.6289 2.2874
-0.1687 1.7991 2.2874
-1.8828 4.5691 1.4333
1.5455 -0.9709 3.1415


Pr4IrPd2, optimized geometry, DFT PBE; VASP energy = -6.037 eV per atom; calculated volume = 398.0 Å³ per cell; E_form = -0.556 eV/atom
1.0
7.9669 -0.9580 -0.1638
-1.5293 7.8799 0.1603
-3.0957 -3.5782 6.4885
Pr Ir Pd
8 2 4
Cartesian
6.1537 -0.1084 1.8440
1.1104 3.0317 1.3160
4.3202 1.5960 4.4785
3.8186 -2.7176 4.4154
1.8890 -0.9182 1.9078
-0.1525 -2.2507 5.1693
0.3490 2.0627 5.2331
5.3750 3.8414 1.2517
-0.7064 3.8765 3.3239
-3.0924 -3.5734 6.4881
2.0839 -0.3274 4.8240
2.8674 5.4016 1.6602
3.6321 1.4615 1.5796
-1.8997 0.1517 4.9061


Pr8Ir2Pd, optimized geometry, DFT PBE; VASP energy = -5.874 eV per atom; calculated volume = 332.0 Å³ per cell; E_form = -0.315 eV/atom
1.0
6.0786 -0.1497 -0.2247
-1.2039 7.8689 -0.2859
-1.2039 -3.2945 7.1517
Pr Ir Pd
8 2 1
Cartesian
3.6838 4.8664 4.2706
3.6838 2.0669 6.1357
0.4399 2.8292 4.2465
1.8354 5.2972 1.2652
1.8354 -0.8726 5.3759
3.2310 1.5954 2.3946
-0.0130 2.3578 0.5053
-0.0130 -0.4417 2.3705
-1.2039 0.0175 4.9451
-1.2039 4.5568 1.9208
3.0393 -0.0749 -0.1124


Pr4IrPd, optimized geometry, DFT PBE; VASP energy = -5.995 eV per atom; calculated volume = 338.8 Å³ per cell; E_form = -0.467 eV/atom
1.0
6.5322 0.0000 0.0000
0.0000 7.2023 0.0000
0.0000 0.0000 7.2023
Pr Ir Pd
8 2 2
Cartesian
0.0000 1.3435 4.8627
0.0000 5.8588 2.3396
0.0000 2.3396 1.3435
0.0000 4.8627 5.8588
3.2661 5.8588 4.8627
3.2661 1.3435 2.3396
3.2661 4.8627 1.3435
3.2661 2.3396 5.8588
1.6330 3.6011 3.6011
4.8991 3.6011 3.6011
1.6330 0.0000 0.0000
4.8991 0.0000 0.0000


Pr4IrPd, optimized geometry, DFT PBE; VASP energy = -5.969 eV per atom; calculated volume = 374.7 Å³ per cell; E_form = -0.441 eV/atom
1.0
7.2539 0.0618 0.0000
-1.0022 7.0684 0.0000
-3.1258 -3.5651 7.2993
Pr Ir Pd
8 2 2
Cartesian
6.4895 1.8542 0.3703
3.3891 5.3069 0.3703
-0.2785 1.6376 4.0402
3.4043 1.9275 3.2591
-0.7795 5.1718 3.2591
-0.2632 -1.7418 6.9290
3.9054 -1.6067 4.0402
-3.3637 1.7109 6.9290
-2.3145 3.5187 5.0780
5.4404 0.0464 2.2213
1.3124 3.5496 1.7810
1.8135 0.0155 5.5183


Pr6Ir2Pd, optimized geometry, DFT PBE; VASP energy = -6.199 eV per atom; calculated volume = 542.0 Å³ per cell; E_form = -0.466 eV/atom
1.0
6.9499 0.0000 0.0049
0.0000 7.4517 0.0000
-0.8613 0.0000 10.4659
Pr Ir Pd
12 4 2
Cartesian
5.5411 7.0290 2.5500
5.1830 4.9898 6.1420
5.0191 5.0896 9.7521
4.1138 1.3637 5.9541
3.9499 1.2640 9.5641
4.4531 3.3032 2.6903
0.5475 0.4227 7.9208
0.9056 2.4619 4.3287
1.0695 2.3621 0.7187
1.9748 6.0880 4.5167
2.1387 6.1877 0.9067
1.6355 4.1485 7.7805
5.9511 2.8735 8.1754
3.1818 6.5994 7.5308
2.9068 0.8523 2.9400
0.1375 4.5782 2.2954
3.4750 3.7259 0.0025
-0.4307 0.0000 5.2329


Pr6IrPd2, optimized geometry, DFT PBE; VASP energy = -5.816 eV per atom; calculated volume = 551.8 Å³ per cell; E_form = -0.491 eV/atom
1.0
-0.4298 6.7942 -0.6844
-2.1032 -0.8636 -7.2528
-10.1360 -0.9452 3.0519
Pr Ir Pd
12 2 4
Cartesian
-4.8811 4.6668 -6.7580
-7.5932 4.5084 -3.7156
-11.2348 4.1977 -2.6875
-6.4380 3.8268 -0.0516
-10.0453 3.5302 1.0947
-3.8028 3.8320 -2.9885
-7.7879 0.3187 1.8728
-5.0758 0.4770 -1.1696
-1.4342 0.7877 -2.1978
-6.2310 1.1586 -4.8336
-2.6237 1.4552 -5.9799
-8.8662 1.1534 -1.8967
-1.2665 2.9653 -3.9686
-5.0680 -0.4726 1.5259
-8.9934 5.3257 -1.0893
-9.5245 2.3518 -4.5639
-3.1445 2.6336 -0.3213
-3.6756 -0.3403 -3.7960


Pr2Sb4IrPd3, optimized geometry, DFT PBE; VASP energy = -5.788 eV per atom; formation energy from raw total energies = -739 meV per atom; calculated volume = 228.1 Å³ per cell
1.0
-0.9513 2.2469 3.8784
0.4242 -3.9019 2.3645
10.5789 2.0151 1.4275
Pr Sb Ir Pd
2 4 1 3
Cartesian
2.3357 1.6590 2.3186
7.9796 -0.4714 2.2304
-0.2636 -0.8275 3.1215
0.0000 0.0000 0.0000
6.1645 2.3883 2.8352
4.1508 -1.2007 1.7138
5.0258 0.1800 3.8352
5.2894 1.0075 0.7137
8.6912 2.8696 3.1762
1.6240 -1.6820 1.3728


Pr2Sb4Ir3Pd, optimized geometry, DFT PBE; VASP energy = -6.457 eV per atom; formation energy from raw total energies = -674 meV per atom; calculated volume = 222.7 Å³ per cell
1.0
-1.7215 3.4174 2.5827
-0.6002 -2.9485 3.5013
9.5998 2.1952 3.4941
Pr Sb Ir Pd
2 4 3 1
Cartesian
1.5898 2.2691 2.1833
6.8492 0.1606 4.3528
-1.1608 0.2345 3.0420
0.0000 0.0000 0.0000
5.2045 3.0957 3.4990
3.2345 -0.6660 3.0372
4.7999 1.0976 1.7471
7.5818 3.6393 4.3643
0.8572 -1.2096 2.1719
3.6391 1.3321 4.7891


PrScIrPd, optimized geometry, DFT PBE; VASP energy = -7.001 eV per atom; calculated volume = 82.3 Å³ per cell; E_form = -0.710 eV/atom
1.0
-3.0107 3.6261 -1.2729
-2.9271 2.0283 3.3393
0.8578 4.5459 1.5593
Pr Sc Ir Pd
1 1 1 1
Cartesian
-3.8100 7.6502 2.7193
-1.2700 2.5501 0.9064
0.0000 0.0000 0.0000
-2.5400 5.1001 1.8129


PrSmIrPd, optimized geometry, DFT PBE; VASP energy = -6.592 eV per atom; calculated volume = 91.0 Å³ per cell; E_form = -0.704 eV/atom
1.0
5.0496 0.0000 0.0000
2.5248 4.3731 0.0000
2.5248 1.4577 4.1230
Pr Ir Pd Sm
1 1 1 1
Cartesian
7.5744 4.3731 3.0922
0.0000 0.0000 0.0000
5.0496 2.9154 2.0615
2.5248 1.4577 1.0307


PrSmIrPd, optimized geometry, DFT PBE; VASP energy = -6.626 eV per atom; calculated volume = 94.9 Å³ per cell; E_form = -0.738 eV/atom
1.0
-3.8036 0.6384 0.4876
-0.9267 -3.7475 -2.3220
2.0085 -3.1916 4.3494
Pr Sm Ir Pd
1 1 1 1
Cartesian
0.0300 -0.8088 1.2934
-2.2875 -3.6434 2.4231
0.0880 -2.3688 3.7878
-2.3474 -2.0329 -0.1522


PrSnIrPd, optimized geometry, DFT PBE; VASP energy = -6.230 eV per atom; calculated volume = 82.2 Å³ per cell; E_form = -0.521 eV/atom
1.0
4.8804 0.0000 0.0000
2.4402 4.2265 0.0000
2.4402 1.4088 3.9848
Pr Ir Sn Pd
1 1 1 1
Cartesian
7.3206 4.2265 2.9886
4.8804 2.8177 1.9924
2.4402 1.4088 0.9962
0.0000 0.0000 0.0000


Pr2Sn4Ir3Pd, optimized geometry, DFT PBE; VASP energy = -6.344 eV per atom; calculated volume = 223.1 Å³ per cell; E_form = -0.610 eV/atom
1.0
-3.7796 0.6930 2.4105
0.1143 -4.3074 1.4175
5.9885 2.9683 8.5367
Pr Sn Ir Pd
2 4 3 1
Cartesian
-0.4130 1.0785 3.3105
4.5688 0.0826 7.1402
-1.8327 -1.8072 1.9140
0.0000 0.0000 0.0000
1.8841 2.2171 6.5850
2.2717 -1.0560 3.8656
2.9942 1.4841 4.2683
3.3146 2.9261 8.6242
0.8412 -1.7651 1.8265
1.1616 -0.3231 6.1823


PrThIrPd, optimized geometry, DFT PBE; VASP energy = -7.237 eV per atom; calculated volume = 93.4 Å³ per cell; E_form = -0.674 eV/atom
1.0
5.0935 0.0000 0.0000
2.5468 4.4111 0.0000
2.5468 1.4704 4.1588
Pr Ir Pd Th
1 1 1 1
Cartesian
2.5468 1.4704 1.0397
0.0000 0.0000 0.0000
5.0935 2.9407 2.0794
7.6403 4.4111 3.1191


PrThIrPd, optimized geometry, DFT PBE; VASP energy = -7.419 eV per atom; calculated volume = 97.5 Å³ per cell; E_form = -0.856 eV/atom
1.0
-2.7419 2.7192 -0.8419
-2.8531 -2.1862 2.2311
2.8445 1.6107 5.2157
Pr Th Ir Pd
1 1 1 1
Cartesian
0.4226 0.8518 1.3750
-1.7109 2.4569 4.2304
1.1834 2.3855 3.8507
-2.5430 0.7795 1.5227


PrTmIrPd, optimized geometry, DFT PBE; VASP energy = -6.603 eV per atom; calculated volume = 87.0 Å³ per cell; E_form = -0.777 eV/atom
1.0
4.9738 0.0000 0.0000
2.4869 4.3074 0.0000
2.4869 1.4358 4.0611
Pr Ir Tm Pd
1 1 1 1
Cartesian
2.4869 1.4358 1.0153
0.0000 0.0000 0.0000
7.4607 4.3074 3.0458
4.9738 2.8716 2.0305